1.
Entry from the Alexandria database: a geometry-optimized RbThSe3 structure (PBE-GGA).

**Calculated total energy**: -5.09 eV per atom
**Space-group type**: Pm-3m (221)
**Formation energy without anion corrections**: -1321 meV per atom
**Density of states at the Fermi level**: 0.609 states/eV per atom
**Relative energy among the computed polymorphs**: 97 meV/atom

a = 5.7323 Å, b = 5.7323 Å, c = 5.7323 Å
α = 90.00°, β = 90.00°, γ = 90.00°
Atoms (fractional coordinates):
Rb 0.0000 0.0000 0.0000
Th 0.5000 0.5000 0.5000
Se 0.0000 0.5000 0.5000
Se 0.5000 0.0000 0.5000
Se 0.5000 0.5000 0.0000

=====

2.
Entry from the Alexandria database: a geometry-optimized CsK2NaSb structure (PBE-GGA).

**Calculated total energy**: -1.91 eV per atom
**Space-group type**: P4/mmm (123)
**Formation energy without anion corrections**: -214 meV per atom
**Density of states at the Fermi level**: 0.613 states/eV per atom
**Relative energy among the computed polymorphs**: 0 meV/atom

a = 6.9414 Å, b = 6.9414 Å, c = 6.1204 Å
α = 90.00°, β = 90.00°, γ = 90.00°
Atoms (fractional coordinates):
Cs 0.0000 0.0000 0.0000
K 0.0000 0.5000 0.5000
K 0.5000 0.0000 0.5000
Na 0.5000 0.5000 0.0000
Sb 0.5000 0.5000 0.5000

=====

3.
Entry from the Alexandria database: a geometry-optimized DyGe4Rh2 structure (PBE-GGA).

**Calculated total energy**: -6.04 eV per atom
**Space-group type**: Pnma (62)
**Density of states at the Fermi level**: 0.354 states/eV per atom

a = 17.2266 Å, b = 4.2330 Å, c = 6.6983 Å
α = 90.00°, β = 90.00°, γ = 90.00°
Atoms (fractional coordinates):
Dy 0.1418 0.2500 0.0038
Dy 0.3582 0.7500 0.5038
Dy 0.6418 0.2500 0.4962
Dy 0.8582 0.7500 0.9962
Ge 0.0349 0.7500 0.8654
Ge 0.0653 0.2500 0.4663
Ge 0.1815 0.7500 0.3064
Ge 0.1927 0.7500 0.7252
Ge 0.3073 0.2500 0.2252
Ge 0.3185 0.2500 0.8064
Ge 0.4347 0.7500 0.9663
Ge 0.4651 0.2500 0.3654
Ge 0.5349 0.7500 0.6346
Ge 0.5653 0.2500 0.0337
Ge 0.6815 0.7500 0.1936
Ge 0.6927 0.7500 0.7748
Ge 0.8073 0.2500 0.2748
Ge 0.8185 0.2500 0.6936
Ge 0.9347 0.7500 0.5337
Ge 0.9651 0.2500 0.1346
Rh 0.0311 0.7500 0.2488
Rh 0.2111 0.2500 0.5205
Rh 0.2889 0.7500 0.0205
Rh 0.4689 0.2500 0.7488
Rh 0.5311 0.7500 0.2512
Rh 0.7111 0.2500 0.9795
Rh 0.7889 0.7500 0.4795
Rh 0.9689 0.2500 0.7512

=====

4.
Entry from the Alexandria database: a geometry-optimized PaNi2Ge structure (PBE-GGA).

**Calculated total energy**: -6.69 eV per atom
**Space-group type**: P4/mmm (123)
**Density of states at the Fermi level**: 0.961 states/eV per atom
**Relative energy among the computed polymorphs**: 235 meV/atom

a = 3.0636 Å, b = 3.0636 Å, c = 6.5841 Å
α = 90.00°, β = 90.00°, γ = 90.00°
Atoms (fractional coordinates):
Pa 0.0000 0.0000 0.0000
Ni 0.5000 0.5000 0.2952
Ni 0.5000 0.5000 0.7048
Ge 0.0000 0.0000 0.5000

=====

5.
Entry from the Alexandria database: a geometry-optimized Cs2HfPCl6 structure (PBE-GGA).

**Calculated total energy**: -4.25 eV per atom
**Space-group type**: I4/mmm (139)
**Formation energy without anion corrections**: -1430 meV per atom
**Density of states at the Fermi level**: 0.000 states/eV per atom

a = 8.1406 Å, b = 8.1406 Å, c = 8.1406 Å
α = 120.04°, β = 120.04°, γ = 89.92°
Atoms (fractional coordinates):
Cs 0.2500 0.7500 0.5000
Cs 0.7500 0.2500 0.5000
Hf 0.0000 0.0000 0.0000
P 0.5000 0.5000 0.0000
Cl 0.2137 0.2137 0.0000
Cl 0.2140 0.2140 0.4280
Cl 0.2140 0.7860 0.0000
Cl 0.7860 0.2140 0.0000
Cl 0.7863 0.7863 0.0000
Cl 0.7860 0.7860 0.5720

=====

6.
Entry from the Alexandria database: a geometry-optimized Na2AlGa structure (PBE-GGA).

**Calculated total energy**: -2.08 eV per atom
**Space-group type**: I-42d (122)
**Density of states at the Fermi level**: 0.479 states/eV per atom

a = 6.5889 Å, b = 6.5889 Å, c = 6.5889 Å
α = 100.57°, β = 100.57°, γ = 129.29°
Atoms (fractional coordinates):
Na 0.1136 0.6250 0.9886
Na 0.3750 0.3636 0.4886
Na 0.6364 0.1250 0.0114
Na 0.8750 0.8864 0.5114
Al 0.2500 0.7500 0.5000
Al 0.5000 0.5000 0.0000
Ga 0.0000 0.0000 0.0000
Ga 0.7500 0.2500 0.5000